A relaxed structure of TaNi2PdAu, computed with PBE-GGA.

abc: 4.447 4.903 4.447
angles: 90.00 90.00 90.00
Site moments in Bohr magnetons follow the coordinates.
Element x y z (fractional)
Ni1 0.000 0.000 0.500  -0.17
Ni2 0.500 0.000 0.000  -0.03
Pd1 0.000 0.000 0.000  0.00
Ta1 0.500 0.500 0.500  1.16
Au1 0.000 0.500 0.000  0.04

The calculation puts the calculated total energy at -4.9333 eV/atom. Its calculated density is 10.30 g/cm3. The value obtained for the energy relative to the elements is 1.44 eV/atom.

---

A relaxed structure of SbTe3W, computed with PBE-GGA.

abc: 5.656 5.656 5.656
angles: 90.00 90.00 90.00
Site moments in Bohr magnetons follow the coordinates.
Element x y z (fractional)
Te1 0.000 0.000 0.500  -0.21
Te2 0.000 0.500 0.000  -0.30
Te3 0.500 0.000 0.000  -0.26
Sb1 0.000 0.000 0.000  0.01
W1 0.500 0.500 0.500  3.30

The calculation puts the calculated total energy at -3.6759 eV/atom. As for the formation energy without anion corrections: 1624 meV per atom. Its calculated density is 6.32 g/cm3.

---

A relaxed structure of V2OsRh3, computed with PBE-GGA.

abc: 4.679 5.389 8.096
angles: 90.00 90.00 54.82
Element x y z (fractional)
Rh1 0.500 0.250 0.835
Rh2 0.000 0.750 0.000
Rh3 0.000 0.750 0.665
Rh4 0.500 0.250 0.500
Rh5 0.000 0.750 0.335
Rh6 0.500 0.250 0.165
V1 0.000 0.250 0.333
V2 0.000 0.250 0.667
V3 0.500 0.750 0.167
V4 0.500 0.750 0.833
Os1 0.500 0.750 0.500
Os2 0.000 0.250 0.000

The calculation puts the calculated total energy at -8.8016 eV/atom. Its calculated density is 11.96 g/cm3. The value obtained for the energy relative to the elements is -0.21 eV/atom.